Entry 1:
Material: Be3P
Method: DFT, GGA-PBE
State: optimized geometry

Unit cell a=5.067 b=5.067 c=5.067 alpha=151.94 beta=136.67 gamma=52.43
Fractional coordinates of all 4 atoms:
P: 0.695 0.000 0.695
Be: 0.754 0.785 0.969
Be: 0.184 0.215 0.969
Be: 0.200 0.500 0.700

Space group = Imm2
Offset from the most stable computed form = 44 kJ/mol of formula units
Density of states at the Fermi level = 0.91 states/eV/cell
Calculated total energy = -3.823 eV per atom
E_form = 0.324 eV/atom

=====

Entry 2:
Material: PaTlGaO6
Method: DFT, GGA-PBE
State: optimized geometry

Unit cell a=4.807 b=5.396 c=5.396 alpha=120.00 beta=90.00 gamma=90.00
Last column: magnetic moment on the atom in μB.
Fractional coordinates of all 9 atoms:
Pa: 0.000 0.333 0.667  -0.02
Tl: 0.500 0.667 0.333  0.01
Ga: 0.500 0.000 0.000  -0.01
O: 0.739 0.683 0.701  0.11
O: 0.739 0.299 0.982  0.11
O: 0.739 0.018 0.317  0.11
O: 0.261 0.299 0.317  0.11
O: 0.261 0.683 0.982  0.11
O: 0.261 0.018 0.701  0.11

Space group = P312
Energy relative to the elements, uncorrected = -1647.0 kJ/mol of formula units
Density of states at the Fermi level = 8.62 states/eV/cell
Calculated total energy = -6.856 eV per atom

=====

Entry 3:
Material: Sr2Mg2CdPd5
Method: DFT, GGA-PBE
State: optimized geometry

Unit cell a=3.712 b=10.504 c=10.504 alpha=90.00 beta=90.00 gamma=90.00
Fractional coordinates of all 20 atoms:
Sr: 0.000 0.678 0.178
Sr: 0.000 0.322 0.822
Sr: 0.000 0.178 0.322
Sr: 0.000 0.822 0.678
Mg: 0.000 0.122 0.622
Mg: 0.000 0.878 0.378
Mg: 0.000 0.622 0.878
Mg: 0.000 0.378 0.122
Cd: 0.000 0.000 0.000
Cd: 0.000 0.500 0.500
Pd: 0.500 0.203 0.058
Pd: 0.500 0.797 0.942
Pd: 0.500 0.058 0.797
Pd: 0.500 0.703 0.442
Pd: 0.500 0.942 0.203
Pd: 0.500 0.297 0.558
Pd: 0.500 0.558 0.703
Pd: 0.500 0.442 0.297
Pd: 0.500 0.500 0.000
Pd: 0.500 0.000 0.500

Space group = P4/mbm
Density of states at the Fermi level = 6.99 states/eV/cell
Calculated total energy = -3.838 eV per atom
E_form = -0.494 eV/atom

=====

Copy entry 2 word for word.
Material: PaTlGaO6
Method: DFT, GGA-PBE
State: optimized geometry

Unit cell a=4.807 b=5.396 c=5.396 alpha=120.00 beta=90.00 gamma=90.00
Last column: magnetic moment on the atom in μB.
Fractional coordinates of all 9 atoms:
Pa: 0.000 0.333 0.667  -0.02
Tl: 0.500 0.667 0.333  0.01
Ga: 0.500 0.000 0.000  -0.01
O: 0.739 0.683 0.701  0.11
O: 0.739 0.299 0.982  0.11
O: 0.739 0.018 0.317  0.11
O: 0.261 0.299 0.317  0.11
O: 0.261 0.683 0.982  0.11
O: 0.261 0.018 0.701  0.11

Space group = P312
Energy relative to the elements, uncorrected = -1647.0 kJ/mol of formula units
Density of states at the Fermi level = 8.62 states/eV/cell
Calculated total energy = -6.856 eV per atom